Compound: AcHf2MnO8
Source: the Alexandria database
Functional: GGA+U
Structure: optimized geometry

Lattice parameters (Å, degrees): 4.913 6.729 4.913 90.00 92.70 90.00
Fractional coordinates of all 12 atoms:
Ac (0.000, 0.000, 0.000)
Hf (0.500, 0.263, 0.500)
Hf (0.500, 0.737, 0.500)
Mn (0.000, 0.500, 0.000)
O (0.201, 0.300, 0.199)
O (0.201, 0.700, 0.199)
O (0.294, 0.500, 0.705)
O (0.333, 0.000, 0.665)
O (0.667, 0.000, 0.335)
O (0.706, 0.500, 0.295)
O (0.799, 0.300, 0.801)
O (0.799, 0.700, 0.801)

Results
Density of states at the Fermi level   5.79 states/eV per cell

---

Compound: AcHfMnO6
Source: the Alexandria database
Functional: GGA+U
Structure: optimized geometry

Lattice parameters (Å, degrees): 5.017 5.017 9.933 90.00 90.00 90.00
Fractional coordinates of all 18 atoms:
Ac (0.000, 0.000, 0.000)
Ac (0.500, 0.500, 0.500)
Hf (0.000, 0.000, 0.661)
Hf (0.500, 0.500, 0.161)
Mn (0.000, 0.000, 0.331)
Mn (0.500, 0.500, 0.831)
O (0.165, 0.165, 0.485)
O (0.210, 0.210, 0.199)
O (0.227, 0.227, 0.797)
O (0.273, 0.727, 0.297)
O (0.290, 0.710, 0.699)
O (0.335, 0.665, 0.985)
O (0.665, 0.335, 0.985)
O (0.710, 0.290, 0.699)
O (0.727, 0.273, 0.297)
O (0.773, 0.773, 0.797)
O (0.790, 0.790, 0.199)
O (0.835, 0.835, 0.485)

Results
Density of states at the Fermi level   9.13 states/eV per cell

---

Compound: Ac2HfMnO6
Source: the Alexandria database
Functional: GGA+U
Structure: optimized geometry

Lattice parameters (Å, degrees): 5.760 5.760 4.334 90.00 90.00 90.00
Fractional coordinates of all 10 atoms:
Ac (0.000, 0.500, 0.000)
Ac (0.500, 0.000, 0.000)
Hf (0.000, 0.000, 0.550)
Mn (0.500, 0.500, 0.581)
O (0.000, 0.000, 0.084)
O (0.246, 0.246, 0.621)
O (0.246, 0.754, 0.621)
O (0.500, 0.500, 0.092)
O (0.754, 0.246, 0.621)
O (0.754, 0.754, 0.621)

---

Number 1: E_tot -8.552 eV per atom. Number 2: E_tot -8.060 eV per atom. Number 3: E_tot -8.373 eV per atom.